[1]
Below is a relaxed structure of GaTcCl2, with properties calculated at the PBE-GGA level.

Values from the calculation:
Its space-group type is No. 122.

abc: 8.465 8.465 6.505
angles: 49.41 49.41 90.00
Last column: magnetic moment on the atom in μB.
Fractional coordinates of all 8 atoms:
Cl 0.375 0.236 0.750  0.01
Cl 0.764 0.125 0.250  0.01
Cl 0.986 0.625 0.250  0.01
Cl 0.875 0.014 0.750  0.01
Tc 0.750 0.250 0.500  0.12
Tc 0.000 0.000 0.000  0.13
Ga 0.500 0.500 0.000  0.00
Ga 0.250 0.750 0.500  0.00

=====

[2]
Below is a relaxed structure of Ga2TcCl, with properties calculated at the PBE-GGA level.

Values from the calculation:
Its space-group type is No. 225.

abc: 4.734 4.734 4.734
angles: 60.00 60.00 60.00
Last column: magnetic moment on the atom in μB.
Fractional coordinates of all 4 atoms:
Tc 0.500 0.500 0.500  1.99
Ga 0.750 0.750 0.750  -0.02
Ga 0.250 0.250 0.250  -0.02
Cl 0.000 0.000 0.000  0.12

=====

[3]
Below is a relaxed structure of GaTcCl2, with properties calculated at the PBE-GGA level.

Values from the calculation:
Its space-group type is No. 225.

abc: 4.890 4.890 4.890
angles: 60.00 60.00 60.00
Last column: magnetic moment on the atom in μB.
Fractional coordinates of all 4 atoms:
Cl 0.750 0.750 0.750  0.08
Cl 0.250 0.250 0.250  0.08
Tc 0.500 0.500 0.500  3.38
Ga 0.000 0.000 0.000  0.02

=====

[4]
Below is a relaxed structure of Ga2TcCl, with properties calculated at the PBE-GGA level.

Values from the calculation:
Its space-group type is No. 122.

abc: 6.155 6.155 7.003
angles: 63.93 63.93 90.00
Last column: magnetic moment on the atom in μB.
Fractional coordinates of all 8 atoms:
Ga 0.086 0.625 0.250  -0.02
Ga 0.875 0.914 0.750  -0.01
Ga 0.664 0.125 0.250  -0.01
Ga 0.375 0.336 0.750  -0.02
Tc 0.000 0.000 0.000  0.54
Tc 0.750 0.250 0.500  0.55
Cl 0.250 0.750 0.500  0.00
Cl 0.500 0.500 0.000  0.00

=====

| no. | formation energy from raw total energies (meV per atom) | offset from the most stable computed form (meV/atom) | calculated total energy (eV/atom) |
| --- | --- | --- | --- |
| 1 | -48 | 0 | -4.319 |
| 2 | 621 | 117 | -3.946 |
| 3 | 367 | 415 | -3.904 |
| 4 | 504 | 0 | -4.063 |